Hf3Mn2Co | PBE-GGA | relaxed

Values from the calculation:
DOS(E_F) in states/eV per atom: 0.8678
E_form in eV per atom: -0.254
Total energy in eV per cell: -56.83

Unit cell a=3.1619 b=3.1619 c=9.4215 alpha=90.00 beta=90.00 gamma=90.00
Space group P4/mmm (No. 123)
Inequivalent atoms, fractional coordinates:
Hf: 0.0000 0.0000 0.0000 [1 per cell]
Hf: 0.0000 0.0000 0.3325 [2 per cell]
Mn: 0.5000 0.5000 0.1702 [2 per cell]
Co: 0.5000 0.5000 0.5000 [1 per cell]